Computed, not measured: a relaxed HfAl2Ag crystal at the PBEsol level of DFT.

The value obtained for the formation energy from the elements is 104 meV per atom. As for the crystal system: tetragonal. The density of states at the Fermi level is 4.471 states/eV/cell. The space group is I-42d. The value obtained for the calculated total energy is -5.39 eV per atom.

a b c (Å): 5.8668 5.8668 5.8668
angles (deg): 103.39 103.39 122.46
Closest atoms and distances in Å follow each position.
Fractional positions:
Hf 0.0000 0.0000 0.0000  2 Ag 2.82, 4 Al 2.83
Hf 0.7500 0.2500 0.5000  2 Ag 2.82, 4 Al 2.83
Al 0.1575 0.6250 0.0325  2 Ag 2.51
Al 0.3750 0.4075 0.5325  2 Ag 2.51
Al 0.5925 0.1250 0.9675  2 Ag 2.51
Al 0.8750 0.8425 0.4675  2 Ag 2.51
Ag 0.2500 0.7500 0.5000  4 Al 2.51
Ag 0.5000 0.5000 0.0000  4 Al 2.51